No. 1
Compound: H3Br2Cl
Source: Alexandria
Functional: PBE-GGA
Structure: relaxed

## Properties
E ... -2.85 eV/atom

a = 14.0071 Å, b = 5.6134 Å, c = 9.3661 Å
α = 90.00°, β = 110.98°, γ = 90.00°
With the nearest neighbours (Å) after each atom.
Space group C2/c (No. 15)
Inequivalent atoms, fractional coordinates:
H 0.0000 0.1750 0.2500 [4 per cell]  1 Cl 1.29
H 0.1189 0.2572 0.9959 [8 per cell]  1 Br 1.44
Br 0.1630 0.4467 0.1029 [8 per cell]  1 H 1.44
Cl 0.0000 0.0549 0.7500 [4 per cell]  1 H 1.29

No. 2
Compound: HBrCl2
Source: Alexandria
Functional: PBE-GGA
Structure: relaxed

## Properties
E ... -2.04 eV/atom
ΔE to the lowest computed polymorph ... 0.3967 eV/atom

a = 3.1230 Å, b = 3.1230 Å, c = 33.8889 Å
α = 90.00°, β = 90.00°, γ = 120.00°
With the nearest neighbours (Å) after each atom.
Space group R-3m (No. 166, hexagonal axes)
Inequivalent atoms, fractional coordinates:
H 0.0000 0.0000 0.0000 [3 per cell]  2 Cl 1.56
Br 0.0000 0.0000 0.5000 [3 per cell]  6 Br 3.12
Cl 0.0000 0.0000 0.0460 [6 per cell]  1 H 1.56

No. 3
Compound: HBrCl3
Source: Alexandria
Functional: PBE-GGA
Structure: relaxed

## Properties
E ... -1.44 eV/atom
ΔE to the lowest computed polymorph ... 0.8758 eV/atom

a = 5.1289 Å, b = 5.1289 Å, c = 5.1289 Å
α = 90.00°, β = 90.00°, γ = 90.00°
With the nearest neighbours (Å) after each atom.
Space group Pm-3m (No. 221)
Inequivalent atoms, fractional coordinates:
H 0.0000 0.0000 0.0000 [1 per cell]  12 Cl 3.63
Br 0.5000 0.5000 0.5000 [1 per cell]  6 Cl 2.56
Cl 0.0000 0.5000 0.5000 [3 per cell]  2 Br 2.56

No. 4
Compound: HBr2Cl
Source: Alexandria
Functional: PBE-GGA
Structure: relaxed

## Properties
E ... -0.98 eV/atom
ΔE to the lowest computed polymorph ... 0.8337 eV/atom

a = 6.9615 Å, b = 6.9615 Å, c = 6.9615 Å
α = 90.00°, β = 90.00°, γ = 90.00°
With the nearest neighbours (Å) after each atom.
Space group Fm-3m (No. 225)
Inequivalent atoms, fractional coordinates:
H 0.0000 0.0000 0.0000 [4 per cell]  8 Br 3.01
Br 0.2500 0.2500 0.2500 [8 per cell]  4 Cl 3.01, 4 H 3.01
Cl 0.0000 0.0000 0.5000 [4 per cell]  8 Br 3.01